Mg5Zn6Ru (PBE-GGA, relaxed); E = -2.16 eV per atom; crystal system = orthorhombic; magnetic moment = 0.00 μB/atom; DFT formation energy = -0.085 eV/atom
1.0
4.3944 -0.0262 1.4645
0.0332 6.1987 0.0111
-0.0138 -0.0131 7.3669
Ru Mg Zn
1 5 6
Cartesian
0.0000 0.0000 0.0000
2.9730 3.0732 5.7851
1.4737 -0.0131 2.9033
0.0166 3.0993 0.0055
2.9069 -0.0262 5.9282
1.4408 3.0862 3.0574
3.7164 4.7130 3.5838
3.6988 1.4334 3.5779
2.2050 1.4480 0.7349
2.2226 4.7245 0.7407
0.7150 4.7260 5.2645
0.6974 1.4464 5.2587